Entry 1:
WCl | the Open Quantum Materials Database | PBE | optimized geometry; space-group type = Fm-3m; calculated volume = 32 Å³ per cell; total DFT energy (no corrections) = -10.52 eV/cell
1.0
-0.229 -3.504 -0.631
0.146 -2.314 2.711
-2.924 -1.800 0.968
Cl W
1 1
Direct
0.000 0.000 0.000 Cl
0.500 0.500 0.500 W



Entry 2:
KNbBi | the Open Quantum Materials Database | PBE | optimized geometry; space-group type = F-43m; calculated volume = 102 Å³ per cell; total DFT energy (no corrections) = -12.75 eV/cell
1.0
4.942 -1.132 1.315
1.191 -1.138 4.972
1.301 -4.897 1.326
Bi K Nb
1 1 1
Direct
0.000 0.000 0.000 Bi
0.250 0.250 0.250 K
0.750 0.750 0.750 Nb



Entry 3:
GdNi2Te | the Open Quantum Materials Database | PBE | optimized geometry; space-group type = Pmc2_1; calculated volume = 152 Å³ per cell; total DFT energy (no corrections) = -41.43 eV/cell
1.0
4.296 0.000 0.000
0.000 4.933 0.000
0.000 0.000 7.157
Gd Ni Te
2 4 2
Direct
0.000 0.207 0.321 Gd
0.000 0.793 0.821 Gd
0.500 0.167 0.053 Ni
0.000 0.708 0.423 Ni
0.500 0.833 0.553 Ni
0.000 0.292 0.923 Ni
0.500 0.697 0.203 Te
0.500 0.303 0.703 Te



Entry 4:
Li6MgCd5 | the Open Quantum Materials Database | PBE | optimized geometry; space-group type = C2/m; calculated volume = 213 Å³ per cell; total DFT energy (no corrections) = -20.28 eV/cell
1.0
-0.627 4.798 5.601
-2.754 -6.297 -2.746
4.391 -3.391 3.388
Cd Li Mg
5 6 1
Direct
0.663 0.337 0.000 Cd
0.337 0.663 0.000 Cd
0.000 0.000 0.500 Cd
0.666 0.334 0.500 Cd
0.334 0.666 0.500 Cd
0.830 0.170 0.253 Li
0.170 0.830 0.253 Li
0.500 0.500 0.258 Li
0.500 0.500 0.742 Li
0.830 0.170 0.747 Li
0.170 0.830 0.747 Li
0.000 0.000 0.000 Mg



Entry 5:
TmBW | the Open Quantum Materials Database | PBE | optimized geometry; space-group type = F-43m; calculated volume = 49 Å³ per cell; total DFT energy (no corrections) = -22.77 eV/cell
1.0
-3.063 0.557 2.675
-3.781 -1.314 -0.907
-1.590 -3.214 1.997
B Tm W
1 1 1
Direct
0.000 0.000 0.000 B
0.250 0.250 0.250 Tm
0.750 0.750 0.750 W



Entry 6:
RbMgFeRe | the Open Quantum Materials Database | PBE | optimized geometry; space-group type = F-43m; calculated volume = 81 Å³ per cell; total DFT energy (no corrections) = -16.94 eV/cell
1.0
0.000 3.427 3.427
3.427 0.000 3.427
3.427 3.427 0.000
Fe Mg Rb Re
1 1 1 1
Direct
0.250 0.250 0.250 Fe
0.750 0.750 0.750 Mg
0.500 0.500 0.500 Rb
0.000 0.000 0.000 Re